Record 1
CuTeP2O | PBE | relaxed

- Excess energy over the best structure of this formula in the dataset: 0 meV/atom
- Raw formation energy: 399 meV/atom
- Crystal system: tetragonal
- Total magnetic moment: 0.00 μB/f.u.
- DOS(E_F): 0.765 states/eV per atom
- DFT total energy: -21.0 eV/cell
- V: 81.91 Å³ per cell

abc: 4.730 4.730 3.661
angles: 90.00 90.00 90.00
Space group P4/mmm (No. 123)
Symmetry-distinct sites (fractional):
Cu (0.000, 0.000, 0.000) (multiplicity 1)
Te (0.500, 0.500, 0.500) (multiplicity 1)
P (0.000, 0.500, 0.000) (multiplicity 2)
O (0.000, 0.000, 0.500) (multiplicity 1)

=====

Record 2
TmLuTcAg | PBE | relaxed

- Crystal system: cubic
- Total magnetic moment: 0.00 μB/f.u.
- DOS(E_F): 0.512 states/eV per atom
- DFT formation energy: -0.188 eV/atom
- DFT total energy: -91.9 eV/cell
- V: 329.97 Å³ per cell

abc: 6.910 6.910 6.910
angles: 90.00 90.00 90.00
Space group F-43m (No. 216)
Symmetry-distinct sites (fractional):
Tm (0.000, 0.000, 0.000) (multiplicity 4)
Lu (0.000, 0.000, 0.500) (multiplicity 4)
Tc (0.250, 0.250, 0.250) (multiplicity 4)
Ag (0.250, 0.250, 0.750) (multiplicity 4)

=====

Record 3
CePuGe2 | PBE | relaxed

- Crystal system: orthorhombic
- Total magnetic moment: 6.39 μB/f.u.
- DOS(E_F): 3.111 states/eV per atom
- DFT formation energy: -0.543 eV/atom
- DFT total energy: -126.7 eV/cell
- V: 363.18 Å³ per cell

abc: 6.148 7.506 7.870
angles: 90.00 90.00 90.00
Space group Imma (No. 74)
Symmetry-distinct sites (fractional):
Ce (0.000, 0.250, 0.225) (multiplicity 4)
Pu (0.000, 0.250, 0.763) (multiplicity 4)
Ge (0.213, 0.000, 0.500) (multiplicity 8)